[1]
Li2CuHPd: relaxed, PBE.

POSCAR file:
```
Li2CuHPd
1.0
3.861 0.000 0.000
0.000 3.861 0.000
0.000 0.000 3.734
Li Pd H Cu
2 1 1 1
direct
0.500 0.000 0.000
0.000 0.500 0.000
0.000 0.000 0.500
0.000 0.000 0.000
0.500 0.500 0.500
```

Calculated values
- magnetization (μB/cell) = 0.0
- distance to the lowest polymorph of the same formula (meV per atom) = 0
- V (Å³ per cell) = 56

---

[2]
KCr4Os: relaxed, PBE.

POSCAR file:
```
KCr4Os
1.0
-3.801 -2.582 1.866
-4.588 1.876 -0.161
-3.383 -1.979 -3.039
Cr K Os
4 1 1
direct
0.374 0.374 0.877
0.877 0.374 0.374
0.374 0.374 0.374
0.374 0.877 0.374
0.750 0.750 0.750
0.000 0.000 0.000
```

Calculated values
- magnetization (μB/cell) = 0.0
- V (Å³ per cell) = 86
- E_form (eV per atom) = 1.12

---

[3]
KCaB6C6: relaxed, PBE.

POSCAR file:
```
KCaB6C6
1.0
4.825 0.000 0.000
0.000 4.825 0.000
0.000 0.000 4.825
B C K Ca
6 6 1 1
direct
0.751 0.500 0.000
0.000 0.751 0.500
0.000 0.249 0.500
0.500 0.000 0.249
0.249 0.500 0.000
0.500 0.000 0.751
0.500 0.255 0.000
0.000 0.500 0.745
0.500 0.745 0.000
0.255 0.000 0.500
0.000 0.500 0.255
0.745 0.000 0.500
0.000 0.000 0.000
0.500 0.500 0.500
```

Calculated values
- magnetization (μB/cell) = 0.0
- V (Å³ per cell) = 112
- E_form (eV per atom) = 0.26